Computed, not measured: a relaxed structure of Sr4TcBr at the GGA-PBE level of DFT.

Cell: 7.229 7.229 7.229 Å, 60.00 60.00 60.00°
Last column: magnetic moment on the atom in μB.
Atoms (fractional coordinates):
Sr (0.871, 0.376, 0.376)  -0.07
Sr (0.376, 0.376, 0.871)  -0.07
Sr (0.376, 0.871, 0.376)  -0.07
Sr (0.376, 0.376, 0.376)  -0.07
Tc (0.750, 0.750, 0.750)  3.15
Br (0.000, 0.000, 0.000)  0.01

* theoretical density: 3.28 g cm⁻³
* D(E_F): 1.69 states/eV per atom
* ΔE_f (raw): 0.81 eV per atom